# RbNdZnTe3

An optimized crystal structure of RbNdZnTe3 (PBE, OQMD via LeMat-Bulk).

a = 9.5204 Å, b = 4.5099 Å, c = 11.3539 Å
α = 90.00°, β = 109.48°, γ = 90.00°
Closest atoms and distances in Å follow each position.
Space group P2_1/m (No. 11)
Inequivalent atoms, fractional coordinates:
Rb (0.2449, 0.2500, 0.2103) (multiplicity 2)  6 Te 3.65-3.87
Nd (0.1868, 0.7500, 0.6370) (multiplicity 2)  6 Te 3.12-3.33
Zn (0.4207, 0.2500, 0.8895) (multiplicity 2)  4 Te 2.64-2.77
Te (0.0402, 0.7500, 0.3468) (multiplicity 2)  3 Nd 3.12-3.17
Te (0.2883, 0.7500, 0.9472) (multiplicity 2)  3 Zn 2.77
Te (0.4294, 0.2500, 0.6593) (multiplicity 2)  1 Zn 2.64

Computed properties:
The value obtained for the size of the total moment is 0.001 μB per formula unit. For the total energy, the calculation gives -45.67 eV/cell.

---

# RbNdZnTe3

An optimized crystal structure of RbNdZnTe3 (PBE, OQMD via LeMat-Bulk).

a = 20.4289 Å, b = 4.6584 Å, c = 9.4903 Å
α = 90.00°, β = 101.69°, γ = 90.00°
Closest atoms and distances in Å follow each position.
Space group C2/m (No. 12)
Inequivalent atoms, fractional coordinates:
Rb (0.1376, 0.0000, 0.0654) (multiplicity 4)  6 Te 3.53-3.61
Nd (0.1678, 0.0000, 0.5662) (multiplicity 4)  6 Te 3.13-3.36
Zn (0.0337, 0.5000, 0.7343) (multiplicity 4)  2 Te 2.63-2.74
Te (0.0000, 0.0000, 0.5000) (multiplicity 2)  4 Zn 3.20, 2 Nd 3.36
Te (0.0000, 0.5000, 0.0000) (multiplicity 2)  2 Zn 2.74
Te (0.1653, 0.5000, 0.7933) (multiplicity 4)  1 Zn 2.63
Te (0.1757, 0.5000, 0.3504) (multiplicity 4)  3 Nd 3.13

Computed properties:
The value obtained for the size of the total moment is 0.000 μB per formula unit. For the total energy, the calculation gives -87.45 eV/cell.

---

# RbNdTh

An optimized crystal structure of RbNdTh (PBE, OQMD via LeMat-Bulk).

a = 8.2000 Å, b = 8.2000 Å, c = 8.2000 Å
α = 90.00°, β = 90.00°, γ = 90.00°
Closest atoms and distances in Å follow each position.
Space group F-43m (No. 216)
Inequivalent atoms, fractional coordinates:
Rb (0.0000, 0.0000, 0.0000) (multiplicity 4)  4 Nd 3.55
Nd (0.2500, 0.2500, 0.7500) (multiplicity 4)  4 Th 3.55, 4 Rb 3.55
Th (0.0000, 0.0000, 0.5000) (multiplicity 4)  4 Nd 3.55

Computed properties:
The energy above the most stable polymorph in this dataset is 0 kJ/mol of formula units. The value obtained for the size of the total moment is 1.869 μB per formula unit. For the total energy, the calculation gives -35.58 eV/cell.

---

# RbNdTl

An optimized crystal structure of RbNdTl (PBE, OQMD via LeMat-Bulk).

a = 8.0104 Å, b = 8.0104 Å, c = 8.0104 Å
α = 90.00°, β = 90.00°, γ = 90.00°
Closest atoms and distances in Å follow each position.
Space group F-43m (No. 216)
Inequivalent atoms, fractional coordinates:
Rb (0.0000, 0.0000, 0.0000) (multiplicity 4)  4 Tl 3.47
Nd (0.0000, 0.0000, 0.5000) (multiplicity 4)  4 Tl 3.47
Tl (0.2500, 0.2500, 0.7500) (multiplicity 4)  4 Nd 3.47, 4 Rb 3.47

Computed properties:
The value obtained for the size of the total moment is 0.005 μB per formula unit. For the total energy, the calculation gives -28.33 eV/cell.

---

# RbNdY

An optimized crystal structure of RbNdY (PBE, OQMD via LeMat-Bulk).

a = 8.5617 Å, b = 8.5617 Å, c = 8.5617 Å
α = 90.00°, β = 90.00°, γ = 90.00°
Closest atoms and distances in Å follow each position.
Space group F-43m (No. 216)
Inequivalent atoms, fractional coordinates:
Rb (0.0000, 0.0000, 0.0000) (multiplicity 4)  4 Nd 3.71
Nd (0.2500, 0.2500, 0.2500) (multiplicity 4)  4 Rb 3.71, 4 Y 3.71
Y (0.0000, 0.0000, 0.5000) (multiplicity 4)  4 Nd 3.71

Computed properties:
The value obtained for the size of the total moment is 3.830 μB per formula unit. For the total energy, the calculation gives -34.17 eV/cell.

---

# RbNdZn

An optimized crystal structure of RbNdZn (PBE, OQMD via LeMat-Bulk).

a = 7.7153 Å, b = 7.7153 Å, c = 7.7153 Å
α = 90.00°, β = 90.00°, γ = 90.00°
Closest atoms and distances in Å follow each position.
Space group F-43m (No. 216)
Inequivalent atoms, fractional coordinates:
Rb (0.0000, 0.0000, 0.0000) (multiplicity 4)  4 Zn 3.34
Nd (0.0000, 0.0000, 0.5000) (multiplicity 4)  4 Zn 3.34
Zn (0.2500, 0.2500, 0.7500) (multiplicity 4)  4 Rb 3.34, 4 Nd 3.34

Computed properties:
The value obtained for the size of the total moment is 0.012 μB per formula unit. For the total energy, the calculation gives -21.49 eV/cell.

---

# RbNdZr

An optimized crystal structure of RbNdZr (PBE, OQMD via LeMat-Bulk).

a = 8.2614 Å, b = 8.2614 Å, c = 8.2614 Å
α = 90.00°, β = 90.00°, γ = 90.00°
Closest atoms and distances in Å follow each position.
Space group F-43m (No. 216)
Inequivalent atoms, fractional coordinates:
Rb (0.0000, 0.0000, 0.0000) (multiplicity 4)  4 Zr 3.58
Nd (0.0000, 0.0000, 0.5000) (multiplicity 4)  4 Zr 3.58
Zr (0.2500, 0.2500, 0.7500) (multiplicity 4)  4 Nd 3.58, 4 Rb 3.58

Computed properties:
The energy above the most stable polymorph in this dataset is 0 kJ/mol of formula units. The value obtained for the size of the total moment is 5.598 μB per formula unit. For the total energy, the calculation gives -39.68 eV/cell.

---

# NdRe2

An optimized crystal structure of NdRe2 (PBE, OQMD via LeMat-Bulk).

a = 5.5099 Å, b = 5.5099 Å, c = 8.9159 Å
α = 90.00°, β = 90.00°, γ = 120.00°
Closest atoms and distances in Å follow each position.
Space group P6_3/mmc (No. 194)
Inequivalent atoms, fractional coordinates:
Nd (0.3333, 0.6667, 0.0627) (multiplicity 4)  12 Re 3.19-3.23, 4 Nd 3.34-3.37
Re (0.0000, 0.0000, 0.0000) (multiplicity 2)  6 Re 2.76
Re (0.1699, 0.3398, 0.7500) (multiplicity 6)  6 Re 2.70-2.81

Computed properties:
The value obtained for the size of the total moment is 0.002 μB per formula unit. For the energy of formation from the pure elements, the calculation gives 32 meV per atom. For the total energy, the calculation gives -118.05 eV/cell.

---

# Nd2Re

An optimized crystal structure of Nd2Re (PBE, OQMD via LeMat-Bulk).

a = 8.4595 Å, b = 8.4595 Å, c = 8.4595 Å
α = 90.00°, β = 90.00°, γ = 90.00°
Closest atoms and distances in Å follow each position.
Space group Fd-3m (No. 227, origin choice 2)
Inequivalent atoms, fractional coordinates:
Nd (0.0000, 0.0000, 0.0000) (multiplicity 16)  6 Nd 2.99
Re (0.1250, 0.1250, 0.6250) (multiplicity 8)  12 Nd 3.51, 4 Re 3.66

Computed properties:
The value obtained for the size of the total moment is 0.144 μB per formula unit. For the energy of formation from the pure elements, the calculation gives 1495 meV per atom. For the total energy, the calculation gives -139.71 eV/cell.

---

# NdRe3

An optimized crystal structure of NdRe3 (PBE, OQMD via LeMat-Bulk).

a = 4.8299 Å, b = 4.8299 Å, c = 7.9702 Å
α = 90.00°, β = 90.00°, γ = 120.00°
Closest atoms and distances in Å follow each position.
Space group P6_3/mmc (No. 194)
Inequivalent atoms, fractional coordinates:
Nd (0.3333, 0.6667, 0.2500) (multiplicity 2)  11 Re 2.79-3.01
Re (0.0000, 0.0000, 0.2500) (multiplicity 2)  3 Nd 2.79, 6 Re 3.01
Re (0.3333, 0.6667, 0.6070) (multiplicity 4)  1 Re 2.28

Computed properties:
The value obtained for the size of the total moment is 0.179 μB per formula unit. For the energy of formation from the pure elements, the calculation gives 1675 meV per atom. For the total energy, the calculation gives -70.66 eV/cell.

---

# NdRe2

An optimized crystal structure of NdRe2 (PBE, OQMD via LeMat-Bulk).

a = 7.7808 Å, b = 7.7808 Å, c = 7.7808 Å
α = 90.00°, β = 90.00°, γ = 90.00°
Closest atoms and distances in Å follow each position.
Space group Fd-3m (No. 227, origin choice 2)
Inequivalent atoms, fractional coordinates:
Nd (0.1250, 0.1250, 0.1250) (multiplicity 8)  12 Re 3.23, 4 Nd 3.37
Re (0.0000, 0.0000, 0.5000) (multiplicity 16)  6 Re 2.75

Computed properties:
The value obtained for the size of the total moment is 0.004 μB per formula unit. For the energy of formation from the pure elements, the calculation gives 57 meV per atom. For the total energy, the calculation gives -235.51 eV/cell.

---

# NdSmRe

An optimized crystal structure of NdSmRe (PBE, OQMD via LeMat-Bulk).

a = 6.8652 Å, b = 6.8652 Å, c = 6.8652 Å
α = 90.00°, β = 90.00°, γ = 90.00°
Closest atoms and distances in Å follow each position.
Space group F-43m (No. 216)
Inequivalent atoms, fractional coordinates:
Nd (0.0000, 0.0000, 0.0000) (multiplicity 4)  4 Sm 2.97
Sm (0.2500, 0.2500, 0.2500) (multiplicity 4)  4 Re 2.97, 4 Nd 2.97
Re (0.0000, 0.0000, 0.5000) (multiplicity 4)  4 Sm 2.97

Computed properties:
The energy above the most stable polymorph in this dataset is 0 kJ/mol of formula units. The value obtained for the size of the total moment is 0.406 μB per formula unit. For the energy of formation from the pure elements, the calculation gives 1158 meV per atom. For the total energy, the calculation gives -73.69 eV/cell.